Entry 1:
Nd6YCd2 after structural relaxation. Source: the Alexandria database, functional GGA-PBE.

- Excess energy over the best structure of this formula in the dataset: 68.9 meV/atom
- DFT formation energy: -68 meV per atom
- Crystal system: monoclinic
- Size of the total moment: 0.0 μB/f.u.

a b c (Å): 15.7461 11.7395 6.2522
angles (deg): 90.00 95.79 90.00
Last column: nearest neighbours and their distance in Å.
Space group C2/c (No. 15)
Unique sites:
Nd 0.0570 0.1261 0.0094 (multiplicity 8)  3 Cd 3.25-3.48, 4 Nd 3.31-3.54
Nd 0.1177 0.3486 0.3126 (multiplicity 8)  2 Cd 3.22-3.44, 3 Nd 3.31-3.57, 2 Y 3.50-3.51
Nd 0.2238 0.3726 0.8360 (multiplicity 8)  3 Cd 3.35-3.43, 5 Nd 3.49-3.67, 1 Y 3.52
Y 0.0000 0.3979 0.7500 (multiplicity 4)  10 Nd 3.50-3.85
Cd 0.1642 0.1228 0.5923 (multiplicity 8)  8 Nd 3.22-3.48



Entry 2:
Nd3Y4Cd after structural relaxation. Source: the Alexandria database, functional GGA-PBE.

- DFT formation energy: -76 meV per atom
- Crystal system: tetragonal
- Size of the total moment: 0.0 μB/f.u.

a b c (Å): 3.6351 3.6351 19.3600
angles (deg): 90.00 90.00 90.00
Last column: nearest neighbours and their distance in Å.
Space group P4/mmm (No. 123)
Unique sites:
Nd 0.0000 0.0000 0.0000 (multiplicity 1)  8 Y 3.63, 4 Nd 3.64
Nd 0.0000 0.0000 0.2644 (multiplicity 2)  8 Y 3.62-3.63, 4 Nd 3.64
Y 0.5000 0.5000 0.1322 (multiplicity 2)  8 Nd 3.63, 4 Y 3.64
Y 0.5000 0.5000 0.3959 (multiplicity 2)  4 Cd 3.27, 4 Nd 3.62, 4 Y 3.64
Cd 0.0000 0.0000 0.5000 (multiplicity 1)  8 Y 3.27, 4 Cd 3.64



Entry 3:
Nd6Y8Cd after structural relaxation. Source: the Alexandria database, functional GGA-PBE.

- DFT formation energy: 73 meV per atom
- Crystal system: trigonal
- Size of the total moment: 0.0 μB/f.u.

a b c (Å): 9.6106 9.6106 6.3072
angles (deg): 90.00 90.00 120.00
Last column: nearest neighbours and their distance in Å.
Space group P-3 (No. 147)
Unique sites:
Nd 0.0906 0.4558 0.1930 (multiplicity 6)  1 Nd 3.34, 6 Y 3.46-3.71
Y 0.0401 0.2606 0.6967 (multiplicity 6)  1 Cd 3.02
Y 0.3333 0.6667 0.6871 (multiplicity 2)  3 Y 3.49, 9 Nd 3.71-3.87
Cd 0.0000 0.0000 0.0000 (multiplicity 1)  6 Y 3.02



Entry 4:
Nd4Y2Cd after structural relaxation. Source: the Alexandria database, functional GGA-PBE.

- DFT formation energy: 28 meV per atom
- Crystal system: monoclinic
- Size of the total moment: 0.0 μB/f.u.

a b c (Å): 16.8794 3.5672 8.7141
angles (deg): 90.00 117.62 90.00
Last column: nearest neighbours and their distance in Å.
Space group C2/m (No. 12)
Unique sites:
Nd 0.0828 0.0000 0.2034 (multiplicity 4)  5 Nd 3.35-3.65, 3 Y 3.40-3.50, 1 Cd 3.46
Nd 0.1304 0.5000 0.8899 (multiplicity 4)  2 Cd 3.56, 6 Nd 3.57-3.75, 3 Y 3.60-3.70
Y 0.2162 0.0000 0.6391 (multiplicity 4)  1 Cd 3.27, 5 Nd 3.40-3.60, 4 Y 3.57-3.60
Cd 0.0000 0.0000 0.5000 (multiplicity 2)  2 Y 3.27, 6 Nd 3.46-3.56, 2 Cd 3.57



Entry 5:
Nd3Y3Cd2 after structural relaxation. Source: the Alexandria database, functional GGA-PBE.

- DFT formation energy: -84 meV per atom
- Crystal system: orthorhombic
- Size of the total moment: 0.0 μB/f.u.

a b c (Å): 5.3446 11.8752 15.7659
angles (deg): 90.00 90.00 90.00
Last column: nearest neighbours and their distance in Å.
Space group Cmcm (No. 63)
Unique sites:
Nd 0.0000 0.0369 0.1068 (multiplicity 8)  1 Cd 3.24, 2 Nd 3.48-3.52, 4 Y 3.50-3.62
Nd 0.0000 0.2648 0.2500 (multiplicity 4)  4 Cd 3.22, 3 Y 3.31-3.58, 2 Nd 3.52
Y 0.0000 0.3562 0.0337 (multiplicity 8)  3 Cd 3.04-3.29
Y 0.0000 0.4565 0.7500 (multiplicity 4)  2 Cd 3.21, 5 Nd 3.31-3.50
Cd 0.0000 0.2329 0.6356 (multiplicity 8)  4 Y 3.04-3.29, 3 Nd 3.22-3.24



Entry 6:
Nd3YCd6 after structural relaxation. Source: the Alexandria database, functional GGA-PBE.

- DFT formation energy: -298 meV per atom
- Crystal system: monoclinic
- Size of the total moment: 0.4 μB/f.u.

a b c (Å): 9.4494 5.2168 11.1934
angles (deg): 90.00 104.62 90.00
Last column: nearest neighbours and their distance in Å.
Space group P2_1/m (No. 11)
Unique sites:
Nd 0.0249 0.2500 0.3923 (multiplicity 2)  8 Cd 3.22-3.55
Nd 0.1517 0.7500 0.2171 (multiplicity 2)  8 Cd 3.23-3.37
Nd 0.2629 0.2500 0.0042 (multiplicity 2)  8 Cd 3.20-3.34
Y 0.4453 0.2500 0.6058 (multiplicity 2)  8 Cd 3.11-3.29
Cd 0.0514 0.7500 0.9103 (multiplicity 2)  7 Nd 3.28-3.34, 3 Cd 3.32-3.57
Cd 0.1687 0.2500 0.7083 (multiplicity 2)  1 Y 3.11, 2 Cd 3.19, 5 Nd 3.21-3.45
Cd 0.2702 0.7500 0.5138 (multiplicity 2)  3 Y 3.12-3.29, 2 Nd 3.22-3.23, 1 Cd 3.23
Cd 0.3542 0.7500 0.8115 (multiplicity 2)  8 Cd 3.19-3.32
Cd 0.3634 0.2500 0.3097 (multiplicity 2)  3 Y 3.18-3.21, 2 Cd 3.28-3.53, 4 Nd 3.29-3.55
Cd 0.4517 0.7500 0.1066 (multiplicity 2)  1 Y 3.12, 3 Cd 3.19-3.20, 4 Nd 3.20-3.37



Entry 7:
Nd2Y8Cd after structural relaxation. Source: the Alexandria database, functional GGA-PBE.

- Excess energy over the best structure of this formula in the dataset: 0.0 meV/atom
- DFT formation energy: -17 meV per atom
- Crystal system: monoclinic
- Size of the total moment: 0.0 μB/f.u.

a b c (Å): 19.5283 5.6059 6.5039
angles (deg): 90.00 94.90 90.00
Last column: nearest neighbours and their distance in Å.
Space group C2/m (No. 12)
Unique sites:
Nd 0.2432 0.0000 0.3335 (multiplicity 4)  9 Y 3.47-3.86, 2 Nd 3.54
Y 0.0435 0.0000 0.2623 (multiplicity 4)  2 Cd 3.35, 6 Y 3.59-3.75
Y 0.0773 0.5000 0.6016 (multiplicity 4)  1 Cd 3.11, 3 Y 3.19-3.39
Y 0.1530 0.0000 0.8088 (multiplicity 4)  6 Y 3.39-3.79, 4 Nd 3.63-3.70
Y 0.1588 0.5000 0.1249 (multiplicity 4)  1 Cd 3.14, 2 Nd 3.47, 2 Y 3.47
Cd 0.0000 0.5000 0.0000 (multiplicity 2)  8 Y 3.11-3.35



Entry 8:
NdY2Cd2 after structural relaxation. Source: the Alexandria database, functional GGA-PBE.

- DFT formation energy: -267 meV per atom
- Crystal system: monoclinic
- Size of the total moment: 0.0 μB/f.u.

a b c (Å): 3.7655 5.4460 14.0149
angles (deg): 90.00 97.73 90.00
Last column: nearest neighbours and their distance in Å.
Space group P2_1/m (No. 11)
Unique sites:
Nd 0.1487 0.2500 0.2952 (multiplicity 2)  6 Cd 3.31-3.35, 2 Y 3.67
Y 0.0469 0.7500 0.0934 (multiplicity 2)  8 Cd 3.23-3.31
Y 0.2358 0.7500 0.4720 (multiplicity 2)  2 Cd 3.23, 4 Y 3.40
Cd 0.3582 0.2500 0.7169 (multiplicity 2)  4 Y 3.23-3.24, 4 Nd 3.31-3.32
Cd 0.4516 0.7500 0.9041 (multiplicity 2)  6 Y 3.23-3.31, 2 Nd 3.35



Entry 9:
NdY2Cd after structural relaxation. Source: the Alexandria database, functional GGA-PBE.

- Excess energy over the best structure of this formula in the dataset: 95.4 meV/atom
- DFT formation energy: -70 meV per atom
- Crystal system: trigonal
- Size of the total moment: 0.0 μB/f.u.

a b c (Å): 3.6551 3.6551 32.4037
angles (deg): 90.00 90.00 120.00
Last column: nearest neighbours and their distance in Å.
Space group R3m (No. 160, hexagonal axes)
Unique sites:
Nd 0.0000 0.0000 0.0000 (multiplicity 3)  6 Y 3.63, 6 Nd 3.66
Y 0.0000 0.0000 0.5754 (multiplicity 3)  3 Cd 3.24
Y 0.0000 0.0000 0.7577 (multiplicity 3)  3 Cd 3.23
Cd 0.0000 0.0000 0.1663 (multiplicity 3)  6 Y 3.23-3.24



Entry 10:
NdY2Cd after structural relaxation. Source: the Alexandria database, functional GGA-PBE.

- Excess energy over the best structure of this formula in the dataset: 169.7 meV/atom
- DFT formation energy: 4 meV per atom
- Crystal system: cubic
- Size of the total moment: 0.8 μB/f.u.

a b c (Å): 7.7914 7.7914 7.7914
angles (deg): 90.00 90.00 90.00
Last column: nearest neighbours and their distance in Å.
Space group Fm-3m (No. 225)
Unique sites:
Nd 0.0000 0.0000 0.0000 (multiplicity 4)  8 Y 3.37
Y 0.2500 0.2500 0.2500 (multiplicity 8)  4 Cd 3.37, 4 Nd 3.37
Cd 0.0000 0.0000 0.5000 (multiplicity 4)  8 Y 3.37



Entry 11:
NdY5Cd6 after structural relaxation. Source: the Alexandria database, functional GGA-PBE.

- DFT formation energy: -345 meV per atom
- Crystal system: orthorhombic
- Size of the total moment: 0.4 μB/f.u.

a b c (Å): 5.3146 15.9915 7.5678
angles (deg): 90.00 90.00 90.00
Last column: nearest neighbours and their distance in Å.
Space group Cmmm (No. 65)
Unique sites:
Nd 0.0000 0.0000 0.0000 (multiplicity 2)  8 Cd 3.28-3.32
Y 0.0000 0.0000 0.5000 (multiplicity 2)  8 Cd 3.24-3.28
Y 0.0000 0.3321 0.0000 (multiplicity 4)  8 Cd 3.24-3.30
Y 0.0000 0.3353 0.5000 (multiplicity 4)  8 Cd 3.22-3.24
Cd 0.0000 0.1690 0.2548 (multiplicity 8)  7 Y 3.24-3.28, 1 Nd 3.32
Cd 0.0000 0.5000 0.2542 (multiplicity 4)  6 Y 3.22-3.30, 2 Nd 3.28



Entry 12:
Nd12Y7Cd after structural relaxation. Source: the Alexandria database, functional GGA-PBE.

- DFT formation energy: 674 meV per atom
- Crystal system: cubic
- Size of the total moment: 0.0 μB/f.u.

a b c (Å): 11.6392 11.6392 11.6392
angles (deg): 90.00 90.00 90.00
Last column: nearest neighbours and their distance in Å.
Space group Im-3 (No. 204)
Unique sites:
Nd 0.0000 0.2235 0.2227 (multiplicity 24)  2 Y 2.94
Y 0.0000 0.0000 0.5000 (multiplicity 6)  12 Nd 4.13-4.56
Y 0.2500 0.2500 0.2500 (multiplicity 8)  6 Nd 2.94
Cd 0.0000 0.0000 0.0000 (multiplicity 2)  12 Nd 3.67



Entry 13:
NdY2Cd6 after structural relaxation. Source: the Alexandria database, functional GGA-PBE.

- DFT formation energy: -338 meV per atom
- Crystal system: hexagonal
- Size of the total moment: 0.2 μB/f.u.

a b c (Å): 8.6692 8.6692 3.4706
angles (deg): 90.00 90.00 120.00
Last column: nearest neighbours and their distance in Å.
Space group P6/mmm (No. 191)
Unique sites:
Nd 0.0000 0.0000 0.0000 (multiplicity 1)  12 Cd 3.39, 2 Nd 3.47
Y 0.3333 0.6667 0.0000 (multiplicity 2)  12 Cd 3.36, 2 Y 3.47
Cd 0.0000 0.3359 0.5000 (multiplicity 6)  3 Cd 2.85-2.91



Entry 14:
Nd5Y8Cd after structural relaxation. Source: the Alexandria database, functional GGA-PBE.

- DFT formation energy: 141 meV per atom
- Crystal system: tetragonal
- Size of the total moment: 0.0 μB/f.u.

a b c (Å): 10.6282 10.6282 8.3780
angles (deg): 90.00 90.00 90.00
Last column: nearest neighbours and their distance in Å.
Space group I-4 (No. 82)
Unique sites:
Nd 0.0000 0.0000 0.0000 (multiplicity 2)  4 Y 3.69, 4 Nd 4.02
Nd 0.0022 0.1960 0.4109 (multiplicity 8)  3 Y 3.19-3.41, 2 Nd 3.30
Y 0.9996 0.3413 0.0784 (multiplicity 8)  1 Nd 3.19, 1 Cd 3.23, 2 Y 3.37-3.54
Y 0.2035 0.2894 0.7505 (multiplicity 8)  1 Cd 3.11, 2 Nd 3.38-3.41
Cd 0.0000 0.5000 0.7500 (multiplicity 2)  8 Y 3.11-3.23



Entry 15:
Nd12YCd6 after structural relaxation. Source: the Alexandria database, functional GGA-PBE.

- DFT formation energy: -105 meV per atom
- Crystal system: trigonal
- Size of the total moment: 0.0 μB/f.u.

a b c (Å): 11.5765 11.5765 14.9868
angles (deg): 90.00 90.00 120.00
Last column: nearest neighbours and their distance in Å.
Space group R-3 (No. 148, hexagonal axes)
Unique sites:
Nd 0.0406 0.1908 0.3046 (multiplicity 18)  4 Nd 3.24-3.49, 3 Cd 3.31-3.53, 1 Y 3.55
Nd 0.0582 0.8407 0.9099 (multiplicity 18)  4 Cd 3.28-3.61, 4 Nd 3.37-3.52
Y 0.0000 0.0000 0.5000 (multiplicity 3)  6 Cd 3.16
Cd 0.0356 0.4437 0.2058 (multiplicity 18)  1 Y 3.16, 6 Nd 3.28-3.53, 2 Cd 3.32



Entry 16:
Nd2Y5Cd after structural relaxation. Source: the Alexandria database, functional GGA-PBE.

- DFT formation energy: -22 meV per atom
- Crystal system: tetragonal
- Size of the total moment: 0.0 μB/f.u.

a b c (Å): 7.0420 7.0420 10.1582
angles (deg): 90.00 90.00 90.00
Last column: nearest neighbours and their distance in Å.
Space group I4/mmm (No. 139)
Unique sites:
Nd 0.0000 0.5000 0.0000 (multiplicity 4)  2 Cd 3.52, 10 Y 3.52-3.56
Y 0.0000 0.0000 0.0000 (multiplicity 2)  4 Nd 3.52, 8 Y 3.56
Y 0.2500 0.2500 0.2500 (multiplicity 8)  6 Y 3.52-3.56, 2 Cd 3.56, 4 Nd 3.56
Cd 0.0000 0.0000 0.5000 (multiplicity 2)  4 Nd 3.52, 8 Y 3.56



Entry 17:
NdY2Cd after structural relaxation. Source: the Alexandria database, functional GGA-PBE.

- Excess energy over the best structure of this formula in the dataset: 66.9 meV/atom
- DFT formation energy: -99 meV per atom
- Crystal system: tetragonal
- Size of the total moment: 0.4 μB/f.u.

a b c (Å): 4.9190 4.9190 4.8992
angles (deg): 90.00 90.00 90.00
Last column: nearest neighbours and their distance in Å.
Space group P4/mmm (No. 123)
Unique sites:
Nd 0.0000 0.0000 0.0000 (multiplicity 1)  8 Y 3.47, 4 Cd 3.48
Y 0.0000 0.5000 0.5000 (multiplicity 2)  4 Cd 3.47, 4 Nd 3.47, 4 Y 3.48
Cd 0.5000 0.5000 0.0000 (multiplicity 1)  8 Y 3.47, 4 Nd 3.48



Entry 18:
NdYCd14 after structural relaxation. Source: the Alexandria database, functional GGA-PBE.

- DFT formation energy: -148 meV per atom
- Crystal system: tetragonal
- Size of the total moment: 0.0 μB/f.u.

a b c (Å): 6.6547 6.6547 8.4917
angles (deg): 90.00 90.00 90.00
Last column: nearest neighbours and their distance in Å.
Space group P4/mmm (No. 123)
Unique sites:
Nd 0.0000 0.0000 0.0000 (multiplicity 1)  12 Cd 3.25-3.33
Y 0.5000 0.5000 0.0000 (multiplicity 1)  12 Cd 3.21-3.33
Cd 0.0000 0.0000 0.5000 (multiplicity 1)  12 Cd 3.13-3.33
Cd 0.0000 0.5000 0.0000 (multiplicity 2)  8 Cd 3.23, 2 Nd 3.33, 2 Y 3.33
Cd 0.0000 0.5000 0.5000 (multiplicity 2)  12 Cd 3.11-3.33
Cd 0.2526 0.2526 0.2607 (multiplicity 8)  10 Cd 3.09-3.36, 1 Y 3.21, 1 Nd 3.25
Cd 0.5000 0.5000 0.5000 (multiplicity 1)  12 Cd 3.09-3.33



Entry 19:
Nd2Y6Cd after structural relaxation. Source: the Alexandria database, functional GGA-PBE.

- Excess energy over the best structure of this formula in the dataset: 142.7 meV/atom
- DFT formation energy: 75 meV per atom
- Crystal system: orthorhombic
- Size of the total moment: 0.0 μB/f.u.

a b c (Å): 9.5363 17.6498 3.5413
angles (deg): 90.00 90.00 90.00
Last column: nearest neighbours and their distance in Å.
Space group Cmmm (No. 65)
Unique sites:
Nd 0.0000 0.1816 0.0000 (multiplicity 4)  2 Nd 3.54, 10 Y 3.58-3.75
Y 0.1764 0.3390 0.5000 (multiplicity 8)  1 Cd 3.30, 6 Y 3.36-3.54, 4 Nd 3.58-3.70
Y 0.2044 0.0000 0.0000 (multiplicity 4)  2 Cd 3.33, 6 Y 3.54
Cd 0.0000 0.5000 0.5000 (multiplicity 2)  8 Y 3.30-3.33, 2 Cd 3.54



Entry 20:
NdY3Cd6 after structural relaxation. Source: the Alexandria database, functional GGA-PBE.

- DFT formation energy: -308 meV per atom
- Crystal system: monoclinic
- Size of the total moment: 0.0 μB/f.u.

a b c (Å): 9.2289 5.2243 11.1828
angles (deg): 90.00 106.41 90.00
Last column: nearest neighbours and their distance in Å.
Space group P2_1/m (No. 11)
Unique sites:
Nd 0.0593 0.2500 0.3894 (multiplicity 2)  8 Cd 3.16-3.39
Y 0.2377 0.2500 0.0001 (multiplicity 2)  8 Cd 3.13-3.32
Y 0.3507 0.7500 0.7974 (multiplicity 2)  8 Cd 3.15-3.28
Y 0.4719 0.2500 0.6083 (multiplicity 2)  8 Cd 3.12-3.39
Cd 0.0546 0.7500 0.9051 (multiplicity 2)  4 Y 3.13-3.28, 3 Cd 3.13-3.22, 1 Nd 3.16
Cd 0.1457 0.7500 0.1969 (multiplicity 2)  8 Cd 3.13-3.34
Cd 0.1576 0.2500 0.6983 (multiplicity 2)  4 Y 3.18-3.33, 3 Nd 3.27-3.31, 1 Cd 3.33
Cd 0.2493 0.7500 0.5034 (multiplicity 2)  4 Y 3.15-3.33, 3 Nd 3.20-3.39, 1 Cd 3.29
Cd 0.3494 0.2500 0.2923 (multiplicity 2)  5 Y 3.12-3.39, 1 Nd 3.16, 2 Cd 3.22
Cd 0.4530 0.7500 0.0951 (multiplicity 2)  7 Y 3.19-3.32, 1 Cd 3.34